[1]
VASP calculation (PBE) on a relaxed CeZnGeRh3 crystal.

## Properties
- Volume: 211.4 Å³/cell
- Total DFT energy (no corrections): -6.11 eV/atom
- M_tot: 0.00 μB/f.u.
- SG: Cmcm

Cell: 5.893 5.682 6.924 Å, 114.22 90.00 90.00°
Fractional coordinates of all 12 atoms:
Rh  0.000  0.745  0.000
Rh  0.250  0.178  0.356
Rh  0.000  0.255  0.000
Rh  0.500  0.255  0.000
Rh  0.500  0.745  0.000
Rh  0.750  0.822  0.644
Ce  0.750  0.337  0.675
Ce  0.250  0.663  0.325
Ge  0.250  0.376  0.752
Ge  0.750  0.624  0.248
Zn  0.250  0.888  0.776
Zn  0.750  0.112  0.224

=====

[2]
VASP calculation (PBE) on a relaxed Ta3AlZn crystal.

## Properties
- ΔE to the lowest computed polymorph: 0.000 eV per atom
- Volume: 101.8 Å³/cell
- Total DFT energy (no corrections): -6.94 eV/atom
- M_tot: 0.00 μB/f.u.
- SG: Pm-3m

Cell: 4.670 4.670 4.670 Å, 90.00 90.00 90.00°
Fractional coordinates of all 5 atoms:
Al  0.500  0.500  0.500
Ta  0.000  0.500  0.000
Ta  0.000  0.000  0.500
Ta  0.500  0.000  0.000
Zn  0.000  0.000  0.000

=====

[3]
VASP calculation (PBE) on a relaxed RbLa3Zn crystal.

## Properties
- ΔE to the lowest computed polymorph: 0.848 eV per atom
- Volume: 186.8 Å³/cell
- Total DFT energy (no corrections): -2.25 eV/atom
- M_tot: 0.00 μB/f.u.
- SG: Pm-3m

Cell: 5.716 5.716 5.716 Å, 90.00 90.00 90.00°
Fractional coordinates of all 5 atoms:
La  0.000  0.000  0.500
La  0.000  0.500  0.000
La  0.500  0.000  0.000
Zn  0.500  0.500  0.500
Rb  0.000  0.000  0.000

=====

[4]
VASP calculation (PBE) on a relaxed Cd6InHg12 crystal.

## Properties
- ΔE to the lowest computed polymorph: 0.005 eV per atom
- Volume: 513.0 Å³/cell
- Total DFT energy (no corrections): -0.59 eV/atom
- M_tot: 0.00 μB/f.u.
- SG: R-3

Cell: 8.077 8.077 8.077 Å, 82.04 82.04 82.04°
Fractional coordinates of all 19 atoms:
Cd  0.304  0.740  0.897
Cd  0.260  0.103  0.696
Cd  0.740  0.897  0.304
Cd  0.897  0.304  0.740
Cd  0.696  0.260  0.103
Cd  0.103  0.696  0.260
Hg  0.966  0.631  0.845
Hg  0.845  0.966  0.631
Hg  0.369  0.155  0.034
Hg  0.526  0.438  0.785
Hg  0.474  0.562  0.215
Hg  0.631  0.845  0.966
Hg  0.562  0.215  0.474
Hg  0.155  0.034  0.369
Hg  0.785  0.526  0.438
Hg  0.215  0.474  0.562
Hg  0.438  0.785  0.526
Hg  0.034  0.369  0.155
In  0.000  0.000  0.000

=====

[5]
VASP calculation (PBE) on a relaxed Ba4RhCl2O crystal.

## Properties
- Volume: 251.6 Å³/cell
- Total DFT energy (no corrections): -4.55 eV/atom
- Formation energy (no corrections): -1.585 eV per atom
- M_tot: 0.00 μB/f.u.
- SG: P2/m

Cell: 4.370 7.367 8.165 Å, 106.85 90.00 90.00°
Fractional coordinates of all 8 atoms:
Ba  0.000  0.231  0.793
Ba  0.000  0.769  0.207
Ba  0.500  0.767  0.797
Ba  0.500  0.233  0.203
O  0.000  0.000  0.000
Cl  0.500  0.000  0.500
Cl  0.000  0.500  0.500
Rh  0.500  0.500  0.000

=====

[6]
VASP calculation (PBE) on a relaxed SnSbO crystal.

## Properties
- ΔE to the lowest computed polymorph: 0.226 eV per atom
- Volume: 63.2 Å³/cell
- Total DFT energy (no corrections): -4.66 eV/atom
- Formation energy (no corrections): -0.299 eV per atom
- M_tot: 0.00 μB/f.u.
- SG: P3m1

Cell: 6.637 3.315 3.315 Å, 120.00 90.00 90.00°
Fractional coordinates of all 3 atoms:
Sb  0.584  0.667  0.333
O  0.397  0.333  0.667
Sn  0.019  0.000  0.000